Material: NaHgF2
Method: DFT, PBE-GGA
State: optimized geometry

For the total energy, the calculation gives -2.92 eV per atom. The calculation puts the uncorrected formation energy at -1.58 eV/atom.

The structure belongs to space group Fm-3m (No. 225); the cell edges are 6.2564, 6.2564 and 6.2564 Å and the angles 90.00°, 90.00° and 90.00°. The distinct sites, in fractional coordinates, are Na at (0.0000, 0.0000, 0.0000), Hg at (0.0000, 0.0000, 0.5000) and F at (0.2500, 0.2500, 0.2500).